# 1
Tl2Zn2Sb | PBE | relaxed

Calculated values
Its energy above the most stable polymorph in this dataset is 0.0 meV per atom. Its formation energy without anion corrections is 0.06 eV per atom. The density comes out at 8.53 g/cm³. Its energy is -2.224 eV per atom. Its space-group type is P4/mbm.

Unit cell a=7.1200 b=7.1200 c=5.0777 alpha=90.00 beta=90.00 gamma=90.00
With the nearest neighbours (Å) after each atom.
Positions (direct):
Tl 0.1760 0.3240 0.0000  6 Zn 3.24-3.34, 1 Tl 3.54
Tl 0.3240 0.8240 0.0000  6 Zn 3.24-3.34, 1 Tl 3.54
Tl 0.6760 0.1760 0.0000  6 Zn 3.24-3.34, 1 Tl 3.54
Tl 0.8240 0.6760 0.0000  6 Zn 3.24-3.34, 1 Tl 3.54
Zn 0.1242 0.6242 0.5000  1 Zn 2.50
Zn 0.3758 0.1242 0.5000  1 Zn 2.50
Zn 0.6242 0.8758 0.5000  1 Zn 2.50
Zn 0.8758 0.3758 0.5000  1 Zn 2.50
Sb 0.0000 0.0000 0.5000  4 Zn 2.82
Sb 0.5000 0.5000 0.5000  4 Zn 2.82

# 2
K2MgBeCu | PBE | relaxed

Calculated values
The density comes out at 1.41 g/cm³. The calculation puts the formation energy at 0.91 eV/atom. Its energy is -1.416 eV per atom. Its space-group type is P4/mmm.

Unit cell a=6.5714 b=6.5714 c=4.7839 alpha=90.00 beta=90.00 gamma=90.00
With the nearest neighbours (Å) after each atom.
Positions (direct):
K 0.0000 0.5000 0.0000  2 Mg 3.29
K 0.5000 0.0000 0.0000  2 Mg 3.29
Mg 0.0000 0.0000 0.0000  2 Be 2.39
Be 0.0000 0.0000 0.5000  2 Mg 2.39
Cu 0.5000 0.5000 0.5000  8 K 4.06

# 3
Tb2PrTe4 | PBE | relaxed

Calculated values
Its energy above the most stable polymorph in this dataset is 0.0 meV per atom. Its formation energy without anion corrections is -1.41 eV per atom. The density comes out at 6.37 g/cm³. Its energy is -5.207 eV per atom. Its space-group type is C2/m.

Unit cell a=8.6846 b=8.6846 c=7.6231 alpha=115.60 beta=115.60 gamma=29.41
With the nearest neighbours (Å) after each atom.
Positions (direct):
Tb 0.2447 0.2447 0.2327  6 Te 3.07-3.16
Tb 0.7553 0.7553 0.7673  6 Te 3.07-3.16
Pr 0.5000 0.5000 0.5000  6 Te 3.19-3.23
Te 0.1341 0.1341 0.4725  3 Tb 3.14-3.16, 2 Pr 3.23
Te 0.3733 0.3733 0.0395  3 Tb 3.07-3.11, 1 Pr 3.19
Te 0.6267 0.6267 0.9605  3 Tb 3.07-3.11, 1 Pr 3.19
Te 0.8659 0.8659 0.5275  3 Tb 3.14-3.16, 2 Pr 3.23

# 4
PW | PBE | relaxed

Calculated values
The density comes out at 7.93 g/cm³. The calculation puts the formation energy at 0.19 eV/atom. Its energy is -8.996 eV per atom. Its space-group type is P4/m.

Unit cell a=10.2136 b=10.2136 c=3.4516 alpha=90.00 beta=90.00 gamma=90.00
With the nearest neighbours (Å) after each atom.
Positions (direct):
P 0.0588 0.6983 0.0000  4 W 2.40-2.51
P 0.2817 0.4374 0.5000  4 W 2.33-2.37
P 0.3017 0.0588 0.0000  4 W 2.40-2.51
P 0.4374 0.7183 0.5000  4 W 2.33-2.37
P 0.5626 0.2817 0.5000  4 W 2.33-2.37
P 0.6983 0.9412 0.0000  4 W 2.40-2.51
P 0.7183 0.5626 0.5000  4 W 2.33-2.37
P 0.9412 0.3017 0.0000  4 W 2.40-2.51
W 0.1238 0.4617 0.0000  4 P 2.37-2.51, 1 W 2.65
W 0.2171 0.6579 0.5000  4 P 2.33-2.40
W 0.3421 0.2171 0.5000  4 P 2.33-2.40
W 0.4617 0.8762 0.0000  4 P 2.37-2.51, 1 W 2.65
W 0.5383 0.1238 0.0000  4 P 2.37-2.51, 1 W 2.65
W 0.6579 0.7829 0.5000  4 P 2.33-2.40
W 0.7829 0.3421 0.5000  4 P 2.33-2.40
W 0.8762 0.5383 0.0000  4 P 2.37-2.51, 1 W 2.65

# 5
SmTm2Ru | PBE | relaxed

Calculated values
Its energy above the most stable polymorph in this dataset is 43.9 meV per atom. The density comes out at 9.51 g/cm³. The calculation puts the formation energy at -0.28 eV/atom. Its energy is -6.016 eV per atom. Its space-group type is P4/mmm.

Unit cell a=3.4058 b=3.4058 c=8.8709 alpha=90.00 beta=90.00 gamma=90.00
With the nearest neighbours (Å) after each atom.
Positions (direct):
Sm 0.0000 0.0000 0.0000  4 Sm 3.41, 8 Tm 3.71
Tm 0.5000 0.5000 0.3186  4 Ru 2.90, 1 Tm 3.22
Tm 0.5000 0.5000 0.6814  4 Ru 2.90, 1 Tm 3.22
Ru 0.0000 0.0000 0.5000  8 Tm 2.90